Material: NdSm2MgTl4
Method: DFT, GGA-PBE
State: optimized geometry

abc: 5.3352 5.3352 27.4041
angles: 90.00 90.00 120.00
Space group R-3m (No. 166, hexagonal axes)
Inequivalent atoms, fractional coordinates:
Nd (0.0000, 0.0000, 0.0000) x3
Sm (0.0000, 0.0000, 0.2421) x6
Mg (0.0000, 0.0000, 0.5000) x3
Tl (0.0000, 0.0000, 0.1241) x6
Tl (0.0000, 0.0000, 0.3762) x6

E_form   -318 meV per atom
Spin magnetization   0.00 μB per formula unit
Total DFT energy (no corrections)   -3.476 eV per atom
Fermi-level density of states   14.85 states/eV per cell